Density functional theory data (PBE) for a geometry-optimized Sc2CoSb structure.

Summary:
space-group type	No. 44
raw formation energy	-0.420	eV/atom

Lattice parameters (Å, degrees): 5.880 5.880 5.880 147.49 134.83 56.75
Element x y z (fractional)
Sc  0.000  0.000  0.000
Sc  0.707  0.207  0.500
Co  0.209  0.709  0.500
Sb  0.410  0.410  0.000